No. 1
Density functional theory data (SCAN) for a PBEsol-optimized structure of LaCuPd3.

POSCAR file:
```
LaCuPd3
1.0
-2.7813 0.6669 -3.6063
2.5796 -2.8615 -2.5186
-2.6069 -3.5430 1.3553
Cu Pd La
1 3 1
direct
0.0000 0.0000 0.0000
0.0000 0.5000 0.0000
0.0000 0.0000 0.5000
0.5000 0.0000 0.0000
0.5000 0.5000 0.5000
```

## Properties
* distance to the lowest polymorph of the same formula: 0.000 eV per atom
* spin magnetization: 0.0 μB per cell
* symmetry: Pm-3m (221)
* ΔH_f (0 K): -0.26 eV per atom

---

No. 2
Density functional theory data (SCAN) for a PBEsol-optimized structure of LaCuPd3.

POSCAR file:
```
LaCuPd3
1.0
5.0057 0.0000 0.0000
0.0000 5.0057 0.0000
0.0000 0.0000 5.0057
Cu Pd La
1 3 1
direct
0.5000 0.5000 0.5000
0.0000 0.5000 0.0000
0.0000 0.0000 0.5000
0.5000 0.0000 0.0000
0.0000 0.0000 0.0000
```

## Properties
* distance to the lowest polymorph of the same formula: 1.217 eV per atom
* spin magnetization: 0.0 μB per cell
* symmetry: Pm-3m (221)
* ΔH_f (0 K): 0.95 eV per atom

---

No. 3
Density functional theory data (SCAN) for a PBEsol-optimized structure of La2CuPdRu.

POSCAR file:
```
La2CuPdRu
1.0
-1.6141 -3.2827 -2.4495
4.7482 -0.5509 -2.3904
1.4759 -3.5183 3.7425
Ru Cu Pd La
1 1 1 2
direct
0.5000 0.0000 0.0000
0.0000 0.0000 0.0000
0.5000 0.5000 0.5000
0.0000 0.0000 0.5000
0.0000 0.5000 0.0000
```

## Properties
* spin magnetization: 0.0 μB per cell
* symmetry: P4/mmm (123)
* ΔH_f (0 K): 0.30 eV per atom

---

No. 4
Density functional theory data (SCAN) for a PBEsol-optimized structure of LaCuPt.

POSCAR file:
```
LaCuPt
1.0
-1.5294 -1.8150 -3.0074
3.4893 0.9947 -2.3747
-0.0941 -3.6905 2.2751
Pt Cu La
1 1 1
direct
0.5000 0.6667 0.3333
0.5000 0.0000 0.0000
0.0000 0.3333 0.6667
```

## Properties
* spin magnetization: 0.0 μB per cell
* symmetry: P-6m2 (187)
* ΔH_f (0 K): -0.87 eV per atom

---

No. 5
Density functional theory data (SCAN) for a PBEsol-optimized structure of La3CuPt.

POSCAR file:
```
La3CuPt
1.0
-3.9147 -1.9115 -3.4975
3.5492 -3.9024 -1.8399
-1.8135 -3.5112 3.9489
Cu Pt La
1 1 3
direct
0.5000 0.5000 0.5000
0.0000 0.0000 0.0000
0.0000 0.5000 0.0000
0.0000 0.0000 0.5000
0.5000 0.0000 0.0000
```

## Properties
* spin magnetization: 0.0 μB per cell
* symmetry: Pm-3m (221)
* ΔH_f (0 K): -0.19 eV per atom

---

No. 6
Density functional theory data (SCAN) for a PBEsol-optimized structure of La2CuPt.

POSCAR file:
```
La2CuPt
1.0
-2.4371 0.1536 2.6580
2.3045 -1.6835 2.2103
2.6458 6.3137 2.0610
Cu Pt La
1 1 2
direct
0.5000 0.5000 0.0000
0.5000 0.5000 0.5000
0.0000 0.0005 0.7469
0.0000 0.9995 0.2531
```

## Properties
* spin magnetization: 0.0 μB per cell
* symmetry: P4/mmm (123)
* ΔH_f (0 K): -0.70 eV per atom

---

No. 7
Density functional theory data (SCAN) for a PBEsol-optimized structure of La2CuPt.

POSCAR file:
```
La2CuPt
1.0
3.6065 0.0000 0.0000
0.0000 5.0751 0.0000
0.0000 0.0000 5.0751
Cu Pt La
1 1 2
direct
0.5000 0.0000 0.0000
0.5000 0.5000 0.5000
0.0000 0.0000 0.5000
0.0000 0.5000 0.0000
```

## Properties
* spin magnetization: 0.0 μB per cell
* symmetry: P4/mmm (123)
* ΔH_f (0 K): -0.72 eV per atom

---

No. 8
Density functional theory data (SCAN) for a PBEsol-optimized structure of LaCuPt2.

POSCAR file:
```
LaCuPt2
1.0
4.3336 0.0000 0.0000
2.1668 3.7530 0.0000
2.1668 1.2510 4.8263
Pt Cu La
2 1 1
direct
0.2937 0.2937 0.1189
0.7063 0.7063 0.8811
0.0000 0.0000 0.0000
0.5000 0.5000 0.5000
```

## Properties
* spin magnetization: 0.0 μB per cell
* symmetry: R-3m (166)
* ΔH_f (0 K): -0.85 eV per atom

---

No. 9
Density functional theory data (SCAN) for a PBEsol-optimized structure of LaCu2Rh.

POSCAR file:
```
LaCu2Rh
1.0
-4.0374 -0.8200 0.8048
-1.3266 -3.9752 0.2417
-0.8470 -1.6272 5.0402
Rh Cu La
1 2 1
direct
0.7056 0.7056 0.8832
0.9976 0.9976 0.0071
0.3020 0.3020 0.0940
0.4998 0.4998 0.5006
```

## Properties
* spin magnetization: 0.0 μB per cell
* symmetry: R3m (160)
* ΔH_f (0 K): -0.33 eV per atom

---

No. 10
Density functional theory data (SCAN) for a PBEsol-optimized structure of LaCu4Rh.

POSCAR file:
```
LaCu4Rh
1.0
-3.2908 0.7361 3.6757
-4.3053 -2.5189 0.0346
-0.7772 -3.5638 3.4025
Cu La Rh
4 1 1
direct
0.3733 0.3733 0.3733
0.3733 0.3733 0.8800
0.8800 0.3733 0.3733
0.3733 0.8800 0.3733
0.7500 0.7500 0.7500
0.0000 0.0000 0.0000
```

## Properties
* spin magnetization: 0.0 μB per cell
* symmetry: F-43m (216)
* ΔH_f (0 K): -0.16 eV per atom

---

No. 11
Density functional theory data (SCAN) for a PBEsol-optimized structure of LaCu2Rh.

POSCAR file:
```
LaCu2Rh
1.0
-2.6365 0.9692 -2.7538
-1.8842 -3.3992 0.6076
-2.4507 1.8972 3.0139
Cu La Rh
2 1 1
direct
0.0000 0.5000 0.0000
0.5000 0.0000 0.0000
0.5000 0.5000 0.5000
0.0000 0.0000 0.5000
```

## Properties
* spin magnetization: 0.0 μB per cell
* symmetry: P4/mmm (123)
* ΔH_f (0 K): -0.13 eV per atom

---

No. 12
Density functional theory data (SCAN) for a PBEsol-optimized structure of La2CuRh.

POSCAR file:
```
La2CuRh
1.0
3.6188 0.0000 0.0000
0.0000 4.9717 0.0000
0.0000 0.0000 4.9717
Rh Cu La
1 1 2
direct
0.5000 0.0000 0.0000
0.5000 0.5000 0.5000
0.0000 0.0000 0.5000
0.0000 0.5000 0.0000
```

## Properties
* spin magnetization: 0.0 μB per cell
* symmetry: P4/mmm (123)
* ΔH_f (0 K): -0.45 eV per atom